Entry 1:
Below is HfFe after structural relaxation, with properties calculated at the PBE level.

a = 11.155 Å, b = 3.243 Å, c = 5.478 Å
α = 90.00°, β = 90.00°, γ = 90.00°
Element x y z (fractional)
Fe 0.616 0.500 0.145
Hf 0.210 0.000 0.191
Fe 0.116 0.000 0.645
Hf 0.790 0.000 0.191
Fe 0.000 0.500 0.400
Fe 0.384 0.500 0.145
Fe 0.884 0.000 0.645
Hf 0.290 0.500 0.691
Fe 0.500 0.000 0.900
Hf 0.000 0.500 0.928
Hf 0.500 0.000 0.428
Hf 0.710 0.500 0.691

Values from the calculation:
The value obtained for the size of the total moment is 5.21 μB per cell. The calculation puts the density of states at the Fermi level at 0.993 states/eV per atom. The formation energy from the elements comes out at -0.051 eV/atom. As for the space-group type: Imm2 (44). The calculation puts the raw total energy at -9.26 eV per atom.

***

Entry 2:
Below is HfFe after structural relaxation, with properties calculated at the PBE level.

a = 6.902 Å, b = 6.902 Å, c = 6.902 Å
α = 90.00°, β = 90.00°, γ = 90.00°
Element x y z (fractional)
Hf 0.250 0.000 0.500
Hf 0.500 0.750 0.000
Fe 0.750 0.500 0.000
Fe 0.000 0.250 0.500
Hf 0.500 0.250 0.000
Hf 0.000 0.500 0.750
Hf 0.000 0.500 0.250
Fe 0.500 0.000 0.750
Hf 0.750 0.000 0.500
Fe 0.500 0.000 0.250
Fe 0.250 0.500 0.000
Fe 0.000 0.750 0.500

Values from the calculation:
The value obtained for the size of the total moment is 3.27 μB per cell. The calculation puts the density of states at the Fermi level at 1.609 states/eV per atom. The formation energy from the elements comes out at 1.632 eV/atom. As for the space-group type: Pm-3n (223). The calculation puts the raw total energy at -7.58 eV per atom.

***

Entry 3:
Below is HfFe2 after structural relaxation, with properties calculated at the PBE level.

a = 4.940 Å, b = 4.940 Å, c = 4.940 Å
α = 60.00°, β = 60.00°, γ = 60.00°
Element x y z (fractional)
Fe 0.625 0.125 0.125
Hf 0.500 0.500 0.500
Fe 0.125 0.125 0.125
Fe 0.125 0.125 0.625
Fe 0.125 0.625 0.125
Hf 0.750 0.750 0.750

Values from the calculation:
The value obtained for the size of the total moment is 6.48 μB per cell. The calculation puts the density of states at the Fermi level at 0.512 states/eV per atom. The formation energy from the elements comes out at -0.350 eV/atom. As for the space-group type: Fd-3m (227). The calculation puts the raw total energy at -9.31 eV per atom.

***

Entry 4:
Below is Hf5Fe2Hg2 after structural relaxation, with properties calculated at the PBE level.

a = 7.013 Å, b = 6.866 Å, c = 8.291 Å
α = 90.00°, β = 64.98°, γ = 90.00°
Element x y z (fractional)
Hf 0.278 0.662 0.779
Hf 0.558 0.838 0.221
Hf 0.058 0.662 0.221
Fe 0.135 0.363 0.000
Hg 0.280 0.500 0.440
Hf 0.222 0.162 0.221
Fe 0.635 0.137 0.000
Hg 0.780 0.000 0.440
Hf 0.778 0.838 0.779
Hf 0.000 0.000 0.000
Hg 0.720 0.500 0.560
Fe 0.365 0.863 0.000
Hf 0.500 0.500 0.000
Fe 0.865 0.637 0.000
Hg 0.220 0.000 0.560
Hf 0.942 0.338 0.779
Hf 0.722 0.338 0.221
Hf 0.442 0.162 0.779

Values from the calculation:
The value obtained for the size of the total moment is 0.00 μB per cell. The calculation puts the density of states at the Fermi level at 0.961 states/eV per atom. The formation energy from the elements comes out at -0.144 eV/atom. As for the space-group type: Cmce (64). The calculation puts the raw total energy at -7.62 eV per atom.

***

Number 1 is which compound? HfFe

***

Which formula does entry 2 have? HfFe

***

size of the total moment of number 4 (Hf5Fe2Hg2)? 0.00 μB per cell

***

Repeat the fourth record exactly.
Below is Hf5Fe2Hg2 after structural relaxation, with properties calculated at the PBE level.

a = 7.013 Å, b = 6.866 Å, c = 8.291 Å
α = 90.00°, β = 64.98°, γ = 90.00°
Element x y z (fractional)
Hf 0.278 0.662 0.779
Hf 0.558 0.838 0.221
Hf 0.058 0.662 0.221
Fe 0.135 0.363 0.000
Hg 0.280 0.500 0.440
Hf 0.222 0.162 0.221
Fe 0.635 0.137 0.000
Hg 0.780 0.000 0.440
Hf 0.778 0.838 0.779
Hf 0.000 0.000 0.000
Hg 0.720 0.500 0.560
Fe 0.365 0.863 0.000
Hf 0.500 0.500 0.000
Fe 0.865 0.637 0.000
Hg 0.220 0.000 0.560
Hf 0.942 0.338 0.779
Hf 0.722 0.338 0.221
Hf 0.442 0.162 0.779

Values from the calculation:
The value obtained for the size of the total moment is 0.00 μB per cell. The calculation puts the density of states at the Fermi level at 0.961 states/eV per atom. The formation energy from the elements comes out at -0.144 eV/atom. As for the space-group type: Cmce (64). The calculation puts the raw total energy at -7.62 eV per atom.